Material: AlNi2Ir
Method: DFT, PBE-GGA
State: relaxed

* formation energy from the elements: -0.388 eV per atom
* DOS at the Fermi energy: 1.060 states/eV per atom

Cell lengths 2.982, 4.059, 4.121 Å; angles 90.00, 90.00, 90.00 degrees
Space group Pmmm (No. 47)
Inequivalent atoms, fractional coordinates:
Al 0.000 0.000 0.000 [1 per cell]
Ni 0.000 0.500 0.500 [1 per cell]
Ni 0.500 0.000 0.500 [1 per cell]
Ir 0.500 0.500 0.000 [1 per cell]